<A>
DFT (GGA-PBE) results for DyTcN2 after structural relaxation.

Results
* ρ: 10.01 Mg/m³
* spin magnetization: 5.1 μB per cell

```
data_DyTcN2
_space_group_name_H-M_alt 'R -3 m'
_space_group_IT_number 166
_space_group_name_Hall '-R 3 2"'
_cell_length_a 3.3099
_cell_length_b 3.3099
_cell_length_c 15.1357
_cell_angle_alpha 90.00
_cell_angle_beta 90.00
_cell_angle_gamma 120.00
loop_
_atom_site_label
_atom_site_fract_x
_atom_site_fract_y
_atom_site_fract_z
Dy1 0.0000 0.0000 0.0000
Tc1 0.0000 0.0000 0.5000
N1 0.0000 0.0000 0.2394
```

=====

<B>
DFT (GGA-PBE) results for DyTcN2 after structural relaxation.

Results
* ρ: 9.82 Mg/m³
* spin magnetization: 3.2 μB per cell

```
data_DyTcN2
_space_group_name_H-M_alt 'R 3 m'
_space_group_IT_number 160
_space_group_name_Hall 'R 3 -2"'
_cell_length_a 3.1971
_cell_length_b 3.1971
_cell_length_c 16.5403
_cell_angle_alpha 90.00
_cell_angle_beta 90.00
_cell_angle_gamma 120.00
loop_
_atom_site_label
_atom_site_fract_x
_atom_site_fract_y
_atom_site_fract_z
Dy1 0.0000 0.0000 0.0000
Tc1 0.0000 0.0000 0.1768
N1 0.0000 0.0000 0.4224
N2 0.0000 0.0000 0.5752
```

=====

<C>
DFT (GGA-PBE) results for DyTcN2 after structural relaxation.

Results
* ρ: 10.03 Mg/m³
* spin magnetization: 0.0 μB per cell

```
data_DyTcN2
_space_group_name_H-M_alt 'P n m a'
_space_group_IT_number 62
_cell_length_a 5.650
_cell_length_b 3.145
_cell_length_c 10.751
_cell_angle_alpha 90.00
_cell_angle_beta 90.00
_cell_angle_gamma 90.00
loop_
_space_group_symop_operation_xyz
'x,y,z'
'-x,-y,-z'
'-x+1/2,-y,z+1/2'
'x+1/2,y,-z+1/2'
'x+1/2,-y+1/2,-z+1/2'
'-x+1/2,y+1/2,z+1/2'
'-x,y+1/2,-z'
'x,-y+1/2,z'
loop_
_atom_site_label
_atom_site_fract_x
_atom_site_fract_y
_atom_site_fract_z
Dy1 0.075 0.250 0.148
Tc1 0.062 0.750 0.403
N1 0.171 0.250 0.754
N2 0.249 0.250 0.497
```

=====

Which is most stable, and by how much? <C>, by 0.180 eV/atom.